1.
Entry from Alexandria: an optimized crystal structure of CePm12Y2 (PBE).

Cell: 6.5340 6.5340 25.4279 Å, 90.00 90.00 90.00°
Closest atoms and distances in Å follow each position.
Sites, in units of the cell vectors:
1 Ce 0.2500 0.7500 0.0000  4 Pm 3.35
2 Ce 0.7500 0.2500 0.0000  4 Pm 3.35
3 Pm 0.0667 0.5667 0.1138  1 Ce 3.35, 7 Pm 3.38-3.51
4 Pm 0.0667 0.9333 0.8862  1 Ce 3.35, 7 Pm 3.38-3.51
5 Pm 0.0820 0.5820 0.4377  5 Pm 3.10-3.44
6 Pm 0.0820 0.9180 0.5623  5 Pm 3.10-3.44
7 Pm 0.2500 0.2500 0.2148  1 Pm 3.12
8 Pm 0.2500 0.2500 0.3373  1 Pm 3.12
9 Pm 0.2500 0.2500 0.6627  1 Pm 3.12
10 Pm 0.2500 0.2500 0.7852  1 Pm 3.12
11 Pm 0.4180 0.5820 0.5623  5 Pm 3.10-3.44
12 Pm 0.4180 0.9180 0.4377  5 Pm 3.10-3.44
13 Pm 0.4333 0.5667 0.8862  1 Ce 3.35, 7 Pm 3.38-3.51
14 Pm 0.4333 0.9333 0.1138  1 Ce 3.35, 7 Pm 3.38-3.51
15 Pm 0.5667 0.0667 0.8862  1 Ce 3.35, 7 Pm 3.38-3.51
16 Pm 0.5667 0.4333 0.1138  1 Ce 3.35, 7 Pm 3.38-3.51
17 Pm 0.5820 0.0820 0.5623  5 Pm 3.10-3.44
18 Pm 0.5820 0.4180 0.4377  5 Pm 3.10-3.44
19 Pm 0.7500 0.7500 0.2148  1 Pm 3.12
20 Pm 0.7500 0.7500 0.3373  1 Pm 3.12
21 Pm 0.7500 0.7500 0.6627  1 Pm 3.12
22 Pm 0.7500 0.7500 0.7852  1 Pm 3.12
23 Pm 0.9180 0.0820 0.4377  5 Pm 3.10-3.44
24 Pm 0.9180 0.4180 0.5623  5 Pm 3.10-3.44
25 Pm 0.9333 0.0667 0.1138  1 Ce 3.35, 7 Pm 3.38-3.51
26 Pm 0.9333 0.4333 0.8862  1 Ce 3.35, 7 Pm 3.38-3.51
27 Y 0.2500 0.7500 0.2729  8 Pm 3.59-3.65
28 Y 0.2500 0.7500 0.7271  8 Pm 3.59-3.65
29 Y 0.7500 0.2500 0.2729  8 Pm 3.59-3.65
30 Y 0.7500 0.2500 0.7271  8 Pm 3.59-3.65

Calculated values
E	-141.976	eV per cell
space-group type	P4/nbm
total moment	2.631	μB per cell
density of states at the Fermi level	1.64	states/eV/atom


2.
Entry from Alexandria: an optimized crystal structure of CePm2Y8 (PBE).

Cell: 9.4968 9.4968 8.0176 Å, 104.61 104.61 31.03°
Closest atoms and distances in Å follow each position.
Sites, in units of the cell vectors:
1 Ce 0.0000 0.0000 0.0000  12 Y 3.56-3.57
2 Pm 0.2717 0.2717 0.3642  2 Pm 3.57, 10 Y 3.58-3.64
3 Pm 0.7283 0.7283 0.6358  2 Pm 3.57, 10 Y 3.58-3.64
4 Y 0.0901 0.0901 0.4526  1 Ce 3.57, 8 Y 3.57-3.62, 3 Pm 3.58-3.61
5 Y 0.1802 0.1802 0.9075  1 Ce 3.56, 8 Y 3.57-3.63, 3 Pm 3.60-3.61
6 Y 0.3648 0.3648 0.8207  7 Y 3.54-3.62, 2 Ce 3.57, 3 Pm 3.60-3.61
7 Y 0.4553 0.4553 0.2690  9 Y 3.54-3.64, 2 Ce 3.56, 1 Pm 3.64
8 Y 0.5447 0.5447 0.7310  9 Y 3.54-3.64, 2 Ce 3.56, 1 Pm 3.64
9 Y 0.6352 0.6352 0.1793  7 Y 3.54-3.62, 2 Ce 3.57, 3 Pm 3.60-3.61
10 Y 0.8198 0.8198 0.0925  1 Ce 3.56, 8 Y 3.57-3.63, 3 Pm 3.60-3.61
11 Y 0.9099 0.9099 0.5474  1 Ce 3.57, 8 Y 3.57-3.62, 3 Pm 3.58-3.61

Calculated values
E	-66.678	eV per cell
space-group type	C2/m
total moment	1.245	μB per cell
density of states at the Fermi level	1.75	states/eV/atom


3.
Entry from Alexandria: an optimized crystal structure of Ce2Pm12Y5 (PBE).

Cell: 10.7320 10.7320 6.2032 Å, 100.27 100.27 66.45°
Closest atoms and distances in Å follow each position.
Sites, in units of the cell vectors:
1 Ce 0.2282 0.7718 0.0000  8 Pm 3.28-3.66
2 Ce 0.7718 0.2282 0.0000  8 Pm 3.28-3.66
3 Pm 0.0576 0.5453 0.7944  6 Pm 3.40-3.73, 3 Y 3.46-3.69, 1 Ce 3.54
4 Pm 0.1184 0.1184 0.0049  4 Y 3.39-3.57, 2 Ce 3.42, 4 Pm 3.45-3.77
5 Pm 0.1494 0.6475 0.3797  1 Ce 3.28, 4 Pm 3.40-3.63, 3 Y 3.44-3.63
6 Pm 0.3525 0.8506 0.6203  1 Ce 3.28, 4 Pm 3.40-3.63, 3 Y 3.44-3.63
7 Pm 0.4421 0.4421 0.7272  6 Pm 3.57-3.90, 2 Ce 3.66, 2 Y 3.68-3.82
8 Pm 0.4547 0.9424 0.2056  6 Pm 3.40-3.73, 3 Y 3.46-3.69, 1 Ce 3.54
9 Pm 0.5453 0.0576 0.7944  6 Pm 3.40-3.73, 3 Y 3.46-3.69, 1 Ce 3.54
10 Pm 0.5579 0.5579 0.2728  6 Pm 3.57-3.90, 2 Ce 3.66, 2 Y 3.68-3.82
11 Pm 0.6475 0.1494 0.3797  1 Ce 3.28, 4 Pm 3.40-3.63, 3 Y 3.44-3.63
12 Pm 0.8506 0.3525 0.6203  1 Ce 3.28, 4 Pm 3.40-3.63, 3 Y 3.44-3.63
13 Pm 0.8816 0.8816 0.9951  4 Y 3.39-3.57, 2 Ce 3.42, 4 Pm 3.45-3.77
14 Pm 0.9424 0.4547 0.2056  6 Pm 3.40-3.73, 3 Y 3.46-3.69, 1 Ce 3.54
15 Y 0.0000 0.0000 0.5000  6 Pm 3.39-3.47, 2 Y 3.76
16 Y 0.2129 0.2129 0.5559  8 Pm 3.46-3.69, 3 Y 3.56-3.76
17 Y 0.3219 0.3219 0.1399  9 Pm 3.44-3.82, 2 Y 3.56-3.73
18 Y 0.6781 0.6781 0.8601  9 Pm 3.44-3.82, 2 Y 3.56-3.73
19 Y 0.7871 0.7871 0.4441  8 Pm 3.46-3.69, 3 Y 3.56-3.76

Calculated values
E	-98.874	eV per cell
space-group type	C2/m
total moment	2.564	μB per cell
density of states at the Fermi level	1.89	states/eV/atom


4.
Entry from Alexandria: an optimized crystal structure of CePm12Y3 (PBE).

Cell: 5.1352 5.1352 20.5189 Å, 90.00 90.00 90.00°
Closest atoms and distances in Å follow each position.
Sites, in units of the cell vectors:
1 Ce 0.0000 0.0000 0.0000  12 Pm 3.61-3.63
2 Pm 0.0000 0.5000 0.1236  8 Pm 3.61-3.67, 2 Ce 3.61, 2 Y 3.64
3 Pm 0.0000 0.5000 0.3747  8 Pm 3.61-3.63, 4 Y 3.63
4 Pm 0.0000 0.5000 0.6253  8 Pm 3.61-3.63, 4 Y 3.63
5 Pm 0.0000 0.5000 0.8764  8 Pm 3.61-3.67, 2 Ce 3.61, 2 Y 3.64
6 Pm 0.5000 0.0000 0.1236  8 Pm 3.61-3.67, 2 Ce 3.61, 2 Y 3.64
7 Pm 0.5000 0.0000 0.3747  8 Pm 3.61-3.63, 4 Y 3.63
8 Pm 0.5000 0.0000 0.6253  8 Pm 3.61-3.63, 4 Y 3.63
9 Pm 0.5000 0.0000 0.8764  8 Pm 3.61-3.67, 2 Ce 3.61, 2 Y 3.64
10 Pm 0.5000 0.5000 0.0000  8 Pm 3.61, 4 Ce 3.63
11 Pm 0.5000 0.5000 0.2512  8 Pm 3.61-3.67, 4 Y 3.63
12 Pm 0.5000 0.5000 0.5000  4 Y 3.63, 8 Pm 3.63
13 Pm 0.5000 0.5000 0.7488  8 Pm 3.61-3.67, 4 Y 3.63
14 Y 0.0000 0.0000 0.2495  12 Pm 3.63-3.64
15 Y 0.0000 0.0000 0.5000  12 Pm 3.63
16 Y 0.0000 0.0000 0.7505  12 Pm 3.63-3.64

Calculated values
E	-81.852	eV per cell
space-group type	P4/mmm
total moment	1.028	μB per cell
density of states at the Fermi level	1.70	states/eV/atom


5.
Entry from Alexandria: an optimized crystal structure of CePm8Y3 (PBE).

Cell: 8.4356 8.4356 8.4356 Å, 117.59 117.59 94.22°
Closest atoms and distances in Å follow each position.
Sites, in units of the cell vectors:
1 Ce 0.0000 0.0000 0.0000  8 Pm 2.92-3.14
2 Pm 0.1181 0.1181 0.7565  3 Pm 3.01-3.32, 1 Ce 3.14, 1 Y 3.34
3 Pm 0.2136 0.2136 0.4711  1 Ce 2.92, 1 Pm 3.26
4 Pm 0.2574 0.7864 0.0000  1 Ce 2.92, 1 Pm 3.26
5 Pm 0.3616 0.3616 0.2435  3 Pm 3.01-3.32, 1 Ce 3.14, 1 Y 3.34
6 Pm 0.6384 0.8819 0.0000  3 Pm 3.01-3.32, 1 Ce 3.14, 1 Y 3.34
7 Pm 0.7426 0.7426 0.5289  1 Ce 2.92, 1 Pm 3.26
8 Pm 0.7864 0.2574 0.0000  1 Ce 2.92, 1 Pm 3.26
9 Pm 0.8819 0.6384 0.0000  3 Pm 3.01-3.32, 1 Ce 3.14, 1 Y 3.34
10 Y 0.2500 0.7500 0.5000  4 Pm 3.48
11 Y 0.5000 0.5000 0.0000  8 Pm 3.28-3.34
12 Y 0.7500 0.2500 0.5000  4 Pm 3.48

Calculated values
E	-56.642	eV per cell
space-group type	I-42m
total moment	0.002	μB per cell
density of states at the Fermi level	1.67	states/eV/atom


6.
Entry from Alexandria: an optimized crystal structure of CePm5Y8 (PBE).

Cell: 8.5161 8.5161 8.5161 Å, 111.41 111.41 105.65°
Closest atoms and distances in Å follow each position.
Sites, in units of the cell vectors:
1 Ce 0.0000 0.0000 0.0000  4 Y 3.17
2 Pm 0.0392 0.4362 0.8227  8 Y 3.41-3.59, 2 Pm 3.61
3 Pm 0.2500 0.7500 0.5000  8 Y 3.17-3.34
4 Pm 0.5638 0.3866 0.6030  8 Y 3.41-3.59, 2 Pm 3.61
5 Pm 0.6134 0.2165 0.1773  8 Y 3.41-3.59, 2 Pm 3.61
6 Pm 0.7835 0.9608 0.3970  8 Y 3.41-3.59, 2 Pm 3.61
7 Y 0.0846 0.3226 0.4011  1 Ce 3.17, 3 Pm 3.17-3.43
8 Y 0.2773 0.1724 0.7506  5 Pm 3.34-3.56, 3 Y 3.67-3.68
9 Y 0.3165 0.9154 0.2381  1 Ce 3.17, 3 Pm 3.17-3.43
10 Y 0.4218 0.5267 0.2494  5 Pm 3.34-3.56, 3 Y 3.67-3.68
11 Y 0.4733 0.7227 0.8951  5 Pm 3.34-3.56, 3 Y 3.67-3.68
12 Y 0.6774 0.0785 0.7619  1 Ce 3.17, 3 Pm 3.17-3.43
13 Y 0.8276 0.5782 0.1049  5 Pm 3.34-3.56, 3 Y 3.67-3.68
14 Y 0.9215 0.6835 0.5989  1 Ce 3.17, 3 Pm 3.17-3.43

Calculated values
E	-77.853	eV per cell
space-group type	I-4
total moment	1.842	μB per cell
density of states at the Fermi level	1.85	states/eV/atom


7.
Entry from Alexandria: an optimized crystal structure of CePmYZn (PBE).

Cell: 5.3767 5.3767 5.3767 Å, 60.00 60.00 60.00°
Closest atoms and distances in Å follow each position.
Sites, in units of the cell vectors:
1 Ce 0.0000 0.0000 0.0000  4 Pm 3.29, 4 Zn 3.29
2 Pm 0.7500 0.7500 0.7500  4 Ce 3.29, 4 Y 3.29
3 Y 0.5000 0.5000 0.5000  4 Pm 3.29, 4 Zn 3.29
4 Zn 0.2500 0.2500 0.2500  4 Ce 3.29, 4 Y 3.29

Calculated values
E	-18.055	eV per cell
space-group type	F-43m
total moment	1.680	μB per cell
density of states at the Fermi level	1.79	states/eV/atom


8.
Entry from Alexandria: an optimized crystal structure of CePmYZr (PBE).

Cell: 5.4885 5.4885 5.4885 Å, 60.00 60.00 60.00°
Closest atoms and distances in Å follow each position.
Sites, in units of the cell vectors:
1 Ce 0.0000 0.0000 0.0000  4 Y 3.36, 4 Zr 3.36
2 Pm 0.5000 0.5000 0.5000  4 Y 3.36, 4 Zr 3.36
3 Y 0.7500 0.7500 0.7500  4 Pm 3.36, 4 Ce 3.36
4 Zr 0.2500 0.2500 0.2500  4 Pm 3.36, 4 Ce 3.36

Calculated values
E	-24.760	eV per cell
space-group type	F-43m
total moment	0.676	μB per cell
density of states at the Fermi level	2.33	states/eV/atom


Question: Among the records above, which one has the highest density of states at the Fermi level?
Answer: CePmYZr


Question: What is the formula in the fourth record?
Answer: CePm12Y3


Question: density of states at the Fermi level of number 2 (CePm2Y8)?
Answer: 1.75 states/eV/atom